Record 1
Here is a relaxed BaSr3Ca7 crystal from Alexandria via LeMat-Bulk. Energies are from GGA-PBE.

Computed properties:
D(E_F) (states/eV per cell): 34.34
Distance to the lowest polymorph of the same formula (eV per atom): 0.007
Formation energy from the elements (meV/atom): 131
Size of the total moment (μB per cell): 0.00
VASP energy (eV/atom): -1.776
Theoretical density (Mg/m³): 2.08
Crystal system: monoclinic

Structure (CIF):
```
data_BaSr3Ca7
_cell_length_a 13.146
_cell_length_b 11.305
_cell_length_c 7.320
_cell_angle_alpha 90.00
_cell_angle_beta 93.97
_cell_angle_gamma 90.00
_symmetry_space_group_name_H-M 'C 1 2/m 1'
_symmetry_Int_Tables_number 12
_symmetry_space_group_name_Hall '-C 2y'
loop_
_atom_site_label
_atom_site_type_symbol
_atom_site_fract_x
_atom_site_fract_y
_atom_site_fract_z
Ba1 Ba 0.000 0.000 0.000
Sr1 Sr 0.000 0.322 0.500
Sr2 Sr 0.000 0.500 0.000
Ca1 Ca 0.000 0.000 0.500
Ca2 Ca 0.244 0.500 0.702
Ca3 Ca 0.246 0.168 0.764
```

***

Record 2
Here is a relaxed BaSr4Ca8 crystal from Alexandria via LeMat-Bulk. Energies are from GGA-PBE.

Computed properties:
D(E_F) (states/eV per cell): 53.72
Distance to the lowest polymorph of the same formula (eV per atom): 0.180
Formation energy from the elements (meV/atom): 201
Size of the total moment (μB per cell): 0.00
VASP energy (eV/atom): -1.696
Theoretical density (Mg/m³): 2.05
Crystal system: trigonal

Structure (CIF):
```
data_BaSr4Ca8
_cell_length_a 7.8815
_cell_length_b 7.8815
_cell_length_c 36.5763
_cell_angle_alpha 90.00
_cell_angle_beta 90.00
_cell_angle_gamma 120.00
_symmetry_space_group_name_H-M 'R -3 m'
_symmetry_Int_Tables_number 166
_symmetry_space_group_name_Hall '-R 3 2"'
loop_
_atom_site_label
_atom_site_type_symbol
_atom_site_fract_x
_atom_site_fract_y
_atom_site_fract_z
Ba1 Ba 0.0000 0.0000 0.0000
Sr1 Sr 0.0000 0.0000 0.5000
Sr2 Sr 0.0000 0.5000 0.0000
Ca1 Ca 0.0000 0.0000 0.1909
Ca2 Ca 0.0099 0.5050 0.7567
```

***

Record 3
Here is a relaxed Ba6Sr5Ca2 crystal from Alexandria via LeMat-Bulk. Energies are from GGA-PBE.

Computed properties:
D(E_F) (states/eV per cell): 28.79
Formation energy from the elements (meV/atom): 75
Size of the total moment (μB per cell): 0.00
VASP energy (eV/atom): -1.767
Theoretical density (Mg/m³): 2.92
Crystal system: orthorhombic

Structure (CIF):
```
data_Ba6Sr5Ca2
_cell_length_a 12.851
_cell_length_b 27.768
_cell_length_c 4.275
_cell_angle_alpha 90.00
_cell_angle_beta 90.00
_cell_angle_gamma 90.00
_symmetry_space_group_name_H-M 'P b a m'
_symmetry_Int_Tables_number 55
_symmetry_space_group_name_Hall '-P 2 2ab'
loop_
_atom_site_label
_atom_site_type_symbol
_atom_site_fract_x
_atom_site_fract_y
_atom_site_fract_z
Ba1 Ba 0.013 0.115 0.000
Ba2 Ba 0.156 0.383 0.000
Ba3 Ba 0.165 0.635 0.500
Sr1 Sr 0.000 0.500 0.500
Sr2 Sr 0.087 0.249 0.500
Sr3 Sr 0.170 0.997 0.500
Ca1 Ca 0.163 0.764 0.000
```